# CaPrSn2, relaxed, DFT PBE-GGA
# - E_tot (eV/atom) = -4.390
# - formation enthalpy at 0 K (kcal/mol of atoms) = -15.99
# - space-group type = Pmc2_1, No. 26
data_CaPrSn2
_chemical_formula_sum 'Ca2 Pr2 Sn4'
_cell_length_a 4.353
_cell_length_b 6.320
_cell_length_c 8.882
_cell_angle_alpha 90.00
_cell_angle_beta 90.00
_cell_angle_gamma 90.00
_space_group_name_H-M_alt 'P 1'
_space_group_IT_number 1
loop_
_space_group_symop_operation_xyz
'x,y,z'
loop_
_atom_site_label
_atom_site_fract_x
_atom_site_fract_y
_atom_site_fract_z
_atom_site_occupancy
Ca1 0.000 0.126 0.000 1
Ca2 0.000 0.874 0.500 1
Pr1 0.500 0.363 0.634 1
Pr2 0.500 0.637 0.134 1
Sn1 0.000 0.409 0.358 1
Sn2 0.000 0.591 0.858 1
Sn3 0.500 0.112 0.277 1
Sn4 0.500 0.888 0.777 1